*one*
## AcNdY (PBE-GGA)

Data for a relaxed structure of AcNdY.

The space group is P2_1/c (No. 14) and the conventional cell measures 6.583, 12.188 and 6.334 Å, with angles of 90.00, 118.60 and 90.00 degrees. The distinct sites, in fractional coordinates, are Ac at (0.169, 0.132, 0.158), Nd at (0.184, 0.615, 0.009) and Y at (0.483, 0.618, 0.658).


*two*
## AcNdY (PBE-GGA)

Data for a relaxed structure of AcNdY.

The space group is P4/nmm (No. 129, origin choice 2) and the conventional cell measures 5.133, 5.133 and 8.876 Å, with angles of 90.00, 90.00 and 90.00 degrees. The distinct sites, in fractional coordinates, are Ac at (0.250, 0.750, 0.000), Nd at (0.250, 0.250, 0.298) and Y at (0.250, 0.250, 0.693).


*three*
## AcNdY (PBE-GGA)

Data for a relaxed structure of AcNdY.

The space group is P3m1 (No. 156) and the conventional cell measures 3.7715, 3.7715 and 9.1074 Å, with angles of 90.00, 90.00 and 120.00 degrees. The distinct sites, in fractional coordinates, are Ac at (0.0000, 0.0000, 0.0000), Nd at (0.3333, 0.6667, 0.6532) and Y at (0.6667, 0.3333, 0.3360).


The structure with the most favorable energy is *three*; the runner-up is 7 meV per atom above it.


*one*
## Ac3NdY (PBE-GGA)

Data for a relaxed structure of Ac3NdY.

The space group is C2/m (No. 12) and the conventional cell measures 12.058, 7.661 and 9.267 Å, with angles of 90.00, 102.45 and 90.00 degrees. The distinct sites, in fractional coordinates, are Ac at (0.152, 0.234, 0.148), Ac at (0.165, 0.500, 0.498), Nd at (0.084, 0.000, 0.714) and Y at (0.083, 0.500, 0.832).


*two*
## Ac3NdY (PBE-GGA)

Data for a relaxed structure of Ac3NdY.

The space group is C2/m (No. 12) and the conventional cell measures 19.929, 3.870 and 10.824 Å, with angles of 90.00, 104.91 and 90.00 degrees. The distinct sites, in fractional coordinates, are Ac at (0.002, 0.000, 0.238), Ac at (0.103, 0.500, 0.545), Ac at (0.202, 0.000, 0.848), Nd at (0.104, 0.500, 0.054) and Y at (0.201, 0.000, 0.351).


The structure with the most favorable energy is *two*; the runner-up is 173 meV per atom above it.


*one*
## AcNd5Y2 (PBE-GGA)

Data for a relaxed structure of AcNd5Y2.

The space group is C2/c (No. 15) and the conventional cell measures 16.552, 9.852 and 7.148 Å, with angles of 90.00, 90.05 and 90.00 degrees. The distinct sites, in fractional coordinates, are Ac at (0.250, 0.250, 0.000), Nd at (0.000, 0.000, 0.250), Nd at (0.147, 0.500, 0.251), Nd at (0.171, 0.132, 0.500) and Y at (0.013, 0.311, 0.000).


*two*
## AcNd5Y2 (PBE-GGA)

Data for a relaxed structure of AcNd5Y2.

The space group is Pbam (No. 55) and the conventional cell measures 7.387, 14.780 and 5.202 Å, with angles of 90.00, 90.00 and 90.00 degrees. The distinct sites, in fractional coordinates, are Ac at (0.000, 0.000, 0.000), Nd at (0.000, 0.500, 0.000), Nd at (0.001, 0.252, 0.000), Nd at (0.247, 0.627, 0.500) and Y at (0.249, 0.373, 0.500).


The structure with the most favorable energy is *two*; the runner-up is 119 meV per atom above it.